(1)
Density functional theory data (GGA-PBE) for a geometry-optimized BaLiCo2 structure.

## Properties
Formation energy from the elements = 0.256 eV/atom
Theoretical density = 5.13 g/cm3
Total magnetic moment = 2.1 μB per cell
SG = Cm

The structure in POSCAR format:
```
BaLiCo2
1.0
3.545 -2.045 0.000
3.545 2.045 0.000
-2.337 0.000 5.858
Ba Li Co
1 1 2
Direct
0.000 0.000 0.000
0.186 0.186 0.563
0.468 0.468 0.407
0.797 0.797 0.394
```

(2)
Density functional theory data (GGA-PBE) for a geometry-optimized Pr2UCuS6 structure.

## Properties
Theoretical density = 4.93 g/cm3
Total magnetic moment = 1.0 μB per cell
Final energy = -6.41 eV/atom
SG = R3

The structure in POSCAR format:
```
Pr2UCuS6
1.0
3.455 1.995 6.318
-3.455 1.995 6.318
0.000 -3.990 6.318
Pr U Cu S
2 1 1 6
Direct
0.000 0.000 0.000
0.490 0.490 0.490
0.694 0.694 0.694
0.269 0.269 0.269
0.058 0.812 0.431
0.326 0.568 0.919
0.431 0.058 0.812
0.568 0.919 0.326
0.812 0.431 0.058
0.919 0.326 0.568
```

(3)
Density functional theory data (GGA-PBE) for a geometry-optimized Rb2IF5 structure.

## Properties
Theoretical density = 3.49 g/cm3
Total magnetic moment = 0.1 μB per cell
Final energy = -3.73 eV/atom
SG = P-1

The structure in POSCAR format:
```
Rb2IF5
1.0
4.080 0.000 0.000
-1.404 6.885 0.000
-0.429 -2.208 6.662
Rb I F
2 1 5
Direct
0.045 0.172 0.352
0.955 0.828 0.648
0.500 0.500 0.000
0.189 0.219 0.958
0.312 0.515 0.727
0.500 0.000 0.500
0.688 0.485 0.273
0.811 0.781 0.042
```

(4)
Density functional theory data (GGA-PBE) for a geometry-optimized MgPaAgAu structure.

## Properties
Formation energy from the elements = -0.178 eV/atom
Theoretical density = 10.80 g/cm3
Total magnetic moment = 0.0 μB per cell
SG = F-43m

The structure in POSCAR format:
```
MgPaAgAu
1.0
0.000 3.505 3.505
3.505 0.000 3.505
3.505 3.505 0.000
Mg Pa Ag Au
1 1 1 1
Direct
0.000 0.000 0.000
0.500 0.500 0.500
0.250 0.250 0.250
0.750 0.750 0.750
```

(5)
Density functional theory data (GGA-PBE) for a geometry-optimized CsHgCl3 structure.

## Properties
Theoretical density = 4.18 g/cm3
Total magnetic moment = 0.0 μB per cell
Final energy = -2.54 eV/atom
SG = P3_2

The structure in POSCAR format:
```
CsHgCl3
1.0
13.686 0.000 0.000
-6.843 11.852 0.000
0.000 0.000 9.691
Cs Hg Cl
9 9 27
Direct
0.097 0.544 0.000
0.110 0.880 0.671
0.120 0.229 0.338
0.446 0.903 0.333
0.449 0.218 0.014
0.456 0.554 0.667
0.769 0.551 0.348
0.771 0.890 0.005
0.782 0.231 0.681
0.111 0.226 0.833
0.113 0.552 0.514
0.115 0.889 0.166
0.439 0.222 0.496
0.439 0.887 0.848
0.448 0.561 0.181
0.774 0.885 0.499
0.778 0.218 0.163
0.782 0.561 0.829
0.079 0.741 0.328
0.085 0.009 0.011
0.153 0.400 0.652
0.247 0.847 0.985
0.259 0.338 0.995
0.273 0.720 0.604
0.280 0.553 0.271
0.288 0.062 0.317
0.310 0.202 0.678
0.447 0.727 0.938
0.451 0.405 0.365
0.452 0.027 0.685
0.574 0.548 0.018
0.595 0.046 0.031
0.600 0.753 0.319
0.605 0.233 0.391
0.627 0.395 0.725
0.662 0.921 0.661
0.767 0.373 0.058
0.774 0.712 0.651
0.798 0.108 0.345
0.892 0.690 0.011
0.924 0.915 0.345
0.938 0.226 0.984
0.954 0.549 0.698
0.973 0.426 0.352
0.991 0.076 0.678
```

(6)
Density functional theory data (GGA-PBE) for a geometry-optimized MgTiC2 structure.

## Properties
Formation energy from the elements = 0.630 eV/atom
Theoretical density = 3.26 g/cm3
Total magnetic moment = 0.0 μB per cell
SG = I-42d

The structure in POSCAR format:
```
MgTiC2
1.0
-2.796 2.796 3.135
2.796 -2.796 3.135
2.796 2.796 -3.135
Mg Ti C
2 2 4
Direct
0.000 0.000 0.000
0.750 0.250 0.500
0.250 0.750 0.500
0.500 0.500 0.000
0.147 0.625 0.022
0.375 0.397 0.522
0.603 0.125 0.978
0.875 0.853 0.478
```

(7)
Density functional theory data (GGA-PBE) for a geometry-optimized Be2NiRu structure.

## Properties
Formation energy from the elements = -0.170 eV/atom
Theoretical density = 7.33 g/cm3
Total magnetic moment = 0.0 μB per cell
SG = P4mm

The structure in POSCAR format:
```
Be2NiRu
1.0
2.701 0.000 0.000
0.000 2.701 0.000
0.000 0.000 5.521
Be Ni Ru
2 1 1
Direct
0.000 0.000 0.000
0.500 0.500 0.205
0.000 0.000 0.424
0.500 0.500 0.746
```

(8)
Density functional theory data (GGA-PBE) for a geometry-optimized Ce2ZrScN4 structure.

## Properties
Theoretical density = 7.09 g/cm3
Total magnetic moment = 0.0 μB per cell
Final energy = -9.15 eV/atom
SG = P2/m

The structure in POSCAR format:
```
Ce2ZrScN4
1.0
5.828 0.000 0.000
0.000 3.365 0.000
-1.942 0.000 5.639
Ce Zr Sc N
2 1 1 4
Direct
0.000 0.000 0.000
0.500 0.500 0.000
0.000 0.500 0.500
0.500 0.000 0.500
0.241 0.000 0.724
0.257 0.500 0.274
0.743 0.500 0.726
0.759 0.000 0.276
```

(9)
Density functional theory data (GGA-PBE) for a geometry-optimized LiGaAgSn structure.

## Properties
Formation energy from the elements = -0.168 eV/atom
Theoretical density = 6.67 g/cm3
Total magnetic moment = 0.0 μB per cell
SG = Pmmm

The structure in POSCAR format:
```
LiGaAgSn
1.0
4.127 0.000 0.000
0.000 4.220 0.000
0.000 0.000 4.335
Li Ga Ag Sn
1 1 1 1
Direct
0.000 0.000 0.000
0.000 0.500 0.500
0.500 0.500 0.000
0.500 0.000 0.500
```

(10)
Density functional theory data (GGA-PBE) for a geometry-optimized Ba2ScSnS5 structure.

## Properties
Theoretical density = 4.08 g/cm3
Total magnetic moment = 0.0 μB per cell
Final energy = -5.41 eV/atom
SG = Cmc2_1

The structure in POSCAR format:
```
Ba2ScSnS5
1.0
2.134 -8.900 0.000
2.134 8.900 0.000
0.000 0.000 12.829
Ba Sc Sn S
4 2 2 10
Direct
0.115 0.885 0.500
0.138 0.862 0.128
0.862 0.138 0.628
0.885 0.115 0.000
0.214 0.786 0.841
0.786 0.214 0.341
0.450 0.550 0.271
0.550 0.450 0.771
0.061 0.939 0.877
0.287 0.713 0.466
0.314 0.686 0.202
0.352 0.648 0.819
0.495 0.505 0.593
0.505 0.495 0.093
0.648 0.352 0.319
0.686 0.314 0.702
0.713 0.287 0.966
0.939 0.061 0.377
```

(11)
Density functional theory data (GGA-PBE) for a geometry-optimized ZrBeW2 structure.

## Properties
Formation energy from the elements = 0.496 eV/atom
Theoretical density = 11.99 g/cm3
Total magnetic moment = 0.0 μB per cell
SG = R-3m

The structure in POSCAR format:
```
ZrBeW2
1.0
1.419 0.820 9.283
-1.419 0.820 9.283
0.000 -1.639 9.283
Zr Be W
1 1 2
Direct
0.000 0.000 0.000
0.500 0.500 0.500
0.238 0.238 0.238
0.762 0.762 0.762
```

(12)
Density functional theory data (GGA-PBE) for a geometry-optimized SmUGe2 structure.

## Properties
Formation energy from the elements = -0.365 eV/atom
Theoretical density = 9.83 g/cm3
Total magnetic moment = 2.7 μB per cell
SG = P4/mmm

The structure in POSCAR format:
```
SmUGe2
1.0
3.342 0.000 0.000
0.000 3.342 0.000
0.000 0.000 8.073
Sm U Ge
1 1 2
Direct
0.000 0.000 0.000
0.000 0.000 0.500
0.500 0.500 0.257
0.500 0.500 0.743
```

(13)
Density functional theory data (GGA-PBE) for a geometry-optimized TmMgZrRe structure.

## Properties
Formation energy from the elements = -0.019 eV/atom
Theoretical density = 9.59 g/cm3
Total magnetic moment = 0.0 μB per cell
SG = F-43m

The structure in POSCAR format:
```
TmMgZrRe
1.0
0.000 3.441 3.441
3.441 0.000 3.441
3.441 3.441 0.000
Tm Mg Zr Re
1 1 1 1
Direct
0.000 0.000 0.000
0.250 0.250 0.250
0.500 0.500 0.500
0.750 0.750 0.750
```

(14)
Density functional theory data (GGA-PBE) for a geometry-optimized ZnAgPd2 structure.

## Properties
Formation energy from the elements = 0.055 eV/atom
Theoretical density = 9.50 g/cm3
Total magnetic moment = 0.0 μB per cell
SG = Immm

The structure in POSCAR format:
```
ZnAgPd2
1.0
-1.379 2.336 5.236
1.379 -2.336 5.236
1.379 2.336 -5.236
Zn Ag Pd
1 1 2
Direct
0.000 0.000 0.000
0.500 0.500 0.000
0.236 0.236 0.000
0.764 0.764 0.000
```

(15)
Density functional theory data (GGA-PBE) for a geometry-optimized Tb3Dy2Y5 structure.

## Properties
Formation energy from the elements = 0.193 eV/atom
Theoretical density = 6.27 g/cm3
Total magnetic moment = 0.0 μB per cell
SG = C2/c

The structure in POSCAR format:
```
Tb3Dy2Y5
1.0
5.365 -7.968 0.000
5.365 7.968 0.000
-5.364 0.000 7.721
Tb Dy Y
6 4 10
Direct
0.019 0.275 0.048
0.223 0.777 0.750
0.275 0.019 0.548
0.725 0.981 0.452
0.777 0.223 0.250
0.981 0.725 0.952
0.222 0.478 0.454
0.478 0.222 0.954
0.522 0.778 0.046
0.778 0.522 0.546
0.021 0.979 0.750
0.122 0.385 0.756
0.277 0.723 0.250
0.385 0.122 0.256
0.478 0.522 0.250
0.522 0.478 0.750
0.615 0.878 0.744
0.723 0.277 0.750
0.878 0.615 0.244
0.979 0.021 0.250
```

(16)
Density functional theory data (GGA-PBE) for a geometry-optimized As2S structure.

## Properties
Theoretical density = 3.02 g/cm3
Total magnetic moment = 0.0 μB per cell
Final energy = -4.46 eV/atom
SG = C2/c

The structure in POSCAR format:
```
As2S
1.0
5.147 -3.065 0.000
5.147 3.065 0.000
-3.513 0.000 6.345
As S
4 2
Direct
0.078 0.112 0.191
0.112 0.078 0.691
0.888 0.922 0.309
0.922 0.888 0.809
0.329 0.671 0.750
0.671 0.329 0.250
```

(17)
Density functional theory data (GGA-PBE) for a geometry-optimized Ba2NaGa2 structure.

## Properties
Formation energy from the elements = -0.106 eV/atom
Theoretical density = 4.12 g/cm3
Total magnetic moment = 0.0 μB per cell
SG = P4/mbm

The structure in POSCAR format:
```
Ba2NaGa2
1.0
9.785 0.000 0.000
0.000 9.785 0.000
0.000 0.000 3.681
Ba Na Ga
4 2 4
Direct
0.182 0.318 0.000
0.318 0.818 0.000
0.682 0.182 0.000
0.818 0.682 0.000
0.000 0.000 0.000
0.500 0.500 0.000
0.106 0.606 0.500
0.394 0.106 0.500
0.606 0.894 0.500
0.894 0.394 0.500
```

(18)
Density functional theory data (GGA-PBE) for a geometry-optimized Ge3PbCl structure.

## Properties
Theoretical density = 5.84 g/cm3
Total magnetic moment = 0.0 μB per cell
Final energy = -3.31 eV/atom
SG = Pm-3m

The structure in POSCAR format:
```
Ge3PbCl
1.0
5.078 0.000 0.000
0.000 5.078 0.000
0.000 0.000 5.078
Ge Pb Cl
3 1 1
Direct
0.000 0.000 0.500
0.000 0.500 0.000
0.500 0.000 0.000
0.500 0.500 0.500
0.000 0.000 0.000
```

(19)
Density functional theory data (GGA-PBE) for a geometry-optimized AgGePO5 structure.

## Properties
Theoretical density = 5.32 g/cm3
Total magnetic moment = 0.0 μB per cell
Final energy = -6.23 eV/atom
SG = C2/c

The structure in POSCAR format:
```
AgGePO5
1.0
3.394 -4.331 0.000
3.394 4.331 0.000
-2.896 0.000 6.185
Ag Ge P O
2 2 2 10
Direct
0.163 0.837 0.750
0.837 0.163 0.250
0.500 0.500 0.000
0.500 0.500 0.500
0.187 0.813 0.250
0.813 0.187 0.750
0.105 0.267 0.904
0.202 0.616 0.379
0.267 0.105 0.404
0.384 0.798 0.121
0.428 0.572 0.750
0.572 0.428 0.250
0.616 0.202 0.879
0.733 0.895 0.596
0.798 0.384 0.621
0.895 0.733 0.096
```

(20)
Density functional theory data (GGA-PBE) for a geometry-optimized PuNi4SbP2 structure.

## Properties
Theoretical density = 9.13 g/cm3
Total magnetic moment = 5.0 μB per cell
Final energy = -7.11 eV/atom
SG = P4/mmm

The structure in POSCAR format:
```
PuNi4SbP2
1.0
3.814 0.000 0.000
0.000 3.814 0.000
0.000 0.000 8.285
Pu Ni Sb P
1 4 1 2
Direct
0.000 0.000 0.000
0.000 0.500 0.286
0.000 0.500 0.714
0.500 0.000 0.286
0.500 0.000 0.714
0.000 0.000 0.500
0.500 0.500 0.143
0.500 0.500 0.857
```

(21)
Density functional theory data (GGA-PBE) for a geometry-optimized ZrTiAlCr structure.

## Properties
Formation energy from the elements = -0.114 eV/atom
Theoretical density = 5.31 g/cm3
Total magnetic moment = 1.0 μB per cell
SG = F-43m

The structure in POSCAR format:
```
ZrTiAlCr
1.0
0.000 3.242 3.242
3.242 0.000 3.242
3.242 3.242 0.000
Zr Ti Al Cr
1 1 1 1
Direct
0.000 0.000 0.000
0.250 0.250 0.250
0.500 0.500 0.500
0.750 0.750 0.750
```

(22)
Density functional theory data (GGA-PBE) for a geometry-optimized K2SrP structure.

## Properties
Formation energy from the elements = -0.379 eV/atom
Theoretical density = 1.58 g/cm3
Total magnetic moment = 0.0 μB per cell
SG = Cm

The structure in POSCAR format:
```
K2SrP
1.0
4.223 -2.437 0.000
4.223 2.437 0.000
-2.775 0.000 10.018
K Sr P
2 1 1
Direct
0.000 0.000 0.000
0.194 0.194 0.592
0.774 0.774 0.326
0.469 0.469 0.414
```

(23)
Density functional theory data (GGA-PBE) for a geometry-optimized Mg2Cd3Au structure.

## Properties
Formation energy from the elements = -0.165 eV/atom
Theoretical density = 7.54 g/cm3
Total magnetic moment = 0.0 μB per cell
SG = Pmm2

The structure in POSCAR format:
```
Mg2Cd3Au
1.0
3.174 0.000 0.000
0.000 4.720 0.000
0.000 0.000 8.562
Mg Cd Au
2 3 1
Direct
0.000 0.000 0.000
0.000 0.500 0.441
0.500 0.000 0.629
0.500 0.500 0.133
0.500 0.500 0.803
0.500 0.000 0.306
```